The following is a PBE calculation of a geometry-optimized LaAl3Os structure, from the Alexandria database.

The calculated volume is 141.71 Å³ per cell. For the formation energy, the calculation gives 11.99 eV/f.u. The energy above the lowest structure with this stoichiometry is 14.224 eV/f.u. The density of states at the Fermi level comes out at 6.70 states/eV/f.u.

The structure belongs to space group Pm-3m (No. 221); the cell edges are 5.214, 5.214 and 5.214 Å and the angles 90.00°, 90.00° and 90.00°. The inequivalent atoms are La at (0.000, 0.000, 0.000), Al at (0.000, 0.000, 0.500) and Os at (0.500, 0.500, 0.500).